Entry 1:
Material: VSbS3
Method: DFT, PBE-GGA
State: relaxed

The formation energy without anion corrections is 3.20 eV/f.u. As for the electronic total energy: -4.484 eV/atom.

The structure belongs to space group Pm-3m (No. 221); the cell edges are 4.967, 4.967 and 4.967 Å and the angles 90.00°, 90.00° and 90.00°. Symmetry generates all atoms from V at (0.000, 0.000, 0.000), Sb at (0.500, 0.500, 0.500) and S at (0.000, 0.500, 0.500).



Entry 2:
Material: KSm2CuTe4
Method: DFT, PBE-GGA
State: relaxed

The formation energy without anion corrections is -9.32 eV/f.u. As for the electronic total energy: -4.565 eV/atom.

The structure belongs to space group Cmcm (No. 63); the cell edges are 4.437, 15.260 and 15.584 Å and the angles 90.00°, 90.00° and 90.00°. Symmetry generates all atoms from K at (0.000, 0.112, 0.250), Sm at (0.000, 0.365, 0.065), Cu at (0.000, 0.158, 0.750), Te at (0.000, 0.000, 0.000), Te at (0.000, 0.268, 0.616) and Te at (0.000, 0.438, 0.250).



Entry 3:
Material: Re3HgCl
Method: DFT, PBE-GGA
State: relaxed

The formation energy without anion corrections is 16.51 eV/f.u. As for the electronic total energy: -4.597 eV/atom.

The structure belongs to space group Pm-3m (No. 221); the cell edges are 5.341, 5.341 and 5.341 Å and the angles 90.00°, 90.00° and 90.00°. Symmetry generates all atoms from Re at (0.000, 0.000, 0.500), Hg at (0.000, 0.000, 0.000) and Cl at (0.500, 0.500, 0.500).



Entry 4:
Material: Pm4AlSn3
Method: DFT, PBE-GGA
State: relaxed

Its energy of formation from the pure elements is -698 meV per atom. As for the electronic total energy: -5.042 eV/atom.

The structure belongs to space group Pmm2 (No. 25); the cell edges are 4.321, 4.634 and 11.620 Å and the angles 90.00°, 90.00° and 90.00°. Symmetry generates all atoms from Pm at (0.000, 0.000, 0.000), Pm at (0.000, 0.500, 0.492), Pm at (0.500, 0.000, 0.719), Pm at (0.500, 0.500, 0.221), Al at (0.000, 0.000, 0.277), Sn at (0.000, 0.500, 0.767), Sn at (0.500, 0.000, 0.435) and Sn at (0.500, 0.500, 0.945).



Entry 5:
Material: YSi
Method: DFT, PBE-GGA
State: relaxed

The formation energy without anion corrections is -0.15 eV/f.u. As for the electronic total energy: -6.017 eV/atom.

The structure belongs to space group P-62m (No. 189); the cell edges are 6.9829, 6.9829 and 4.0468 Å and the angles 90.00°, 90.00° and 120.00°. Symmetry generates all atoms from Y at (0.0000, 0.5694, 0.0000), Si at (0.0000, 0.0000, 0.0000) and Si at (0.3333, 0.6667, 0.5000).



Entry 6:
Material: LaTl2Pb
Method: DFT, PBE-GGA
State: relaxed

Its energy of formation from the pure elements is -215 meV per atom. As for the electronic total energy: -3.557 eV/atom.

The structure belongs to space group P2/m (No. 10); the cell edges are 3.643, 5.645 and 6.049 Å and the angles 90.00°, 93.62° and 90.00°. Symmetry generates all atoms from La at (0.000, 0.000, 0.000), Tl at (0.303, 0.500, 0.745) and Pb at (0.500, 0.000, 0.500).



no.,calculated density (kg/m3)
1,3644
2,5752
3,8661
4,6875
5,3410
6,10097